MgNi2As2O6: relaxed, PBE with a Hubbard U.

- crystal system = trigonal
- total DFT energy (no corrections) (eV per atom) = -5.320
- M_tot (μB per cell) = 4.000

Unit cell a=5.2559 b=5.2559 c=6.0806 alpha=90.00 beta=90.00 gamma=120.00
Each line ends with the local moment (μB).
Atoms (fractional coordinates):
1 Mg 0.0000 0.0000 0.0000  0.00
2 Ni 0.3333 0.6667 0.7597  1.64
3 Ni 0.6667 0.3333 0.2403  1.64
4 As 0.3333 0.6667 0.3323  0.02
5 As 0.6667 0.3333 0.6677  0.02
6 O 0.3545 0.3113 0.8019  0.10
7 O 0.9568 0.6455 0.8019  0.10
8 O 0.6887 0.0432 0.8019  0.10
9 O 0.6455 0.6887 0.1981  0.10
10 O 0.0432 0.3545 0.1981  0.10
11 O 0.3113 0.9568 0.1981  0.10